Below is a relaxed structure of ZnIn2Tc, with properties calculated at the PBEsol level.

magnetic moment = 0.5 μB/f.u.
formation energy = 0.35 eV per atom
density of states at the Fermi level = 3.57 states/eV per cell
raw total energy = -17.418 eV/f.u.
crystal system = tetragonal

Lattice parameters (Å, degrees): 2.939 2.939 8.392 90.00 90.00 89.99
Fractional coordinates of all 4 atoms:
In 0.000 0.000 0.733
Tc 0.500 0.500 0.500
In 0.000 0.000 0.267
Zn 0.500 0.500 0.000